(1)
DFT (PBE-GGA) results for an optimized crystal structure of La2TbThSe4.

Cell: 7.327 4.206 7.362 Å, 90.00 109.21 90.00°
Space group P2/m (No. 10)
Asymmetric unit:
La (0.000, 0.000, 0.000)
La (0.000, 0.500, 0.500)
Tb (0.500, 0.000, 0.500)
Th (0.500, 0.500, 0.000)
Se (0.260, 0.000, 0.747)
Se (0.264, 0.500, 0.260)

Properties
density of states at the Fermi level = 4.47 states/eV per cell
crystal system = monoclinic
size of the total moment = 0.0 Bohr magnetons per cell
uncorrected formation energy = -1408 kJ/mol of formula units


(2)
DFT (PBE-GGA) results for an optimized crystal structure of La4TbTh3Se8.

Cell: 8.4789 8.4789 20.8220 Å, 90.00 90.00 120.00°
Space group R-3m (No. 166, hexagonal axes)
Asymmetric unit:
La (0.0000, 0.0000, 0.0000)
La (0.0000, 0.5000, 0.0000)
Tb (0.0000, 0.0000, 0.5000)
Th (0.0000, 0.5000, 0.5000)
Se (0.0000, 0.0000, 0.2485)
Se (0.0059, 0.5029, 0.2468)

Properties
density of states at the Fermi level = 22.37 states/eV per cell
crystal system = trigonal
size of the total moment = 0.0 Bohr magnetons per cell
uncorrected formation energy = -2776 kJ/mol of formula units


(3)
DFT (PBE-GGA) results for an optimized crystal structure of La3TbTl4Se8.

Cell: 8.7406 8.7406 23.1526 Å, 90.00 90.00 120.00°
Space group R-3m (No. 166, hexagonal axes)
Asymmetric unit:
La (0.0000, 0.5000, 0.0000)
Tb (0.0000, 0.0000, 0.0000)
Tl (0.0000, 0.0000, 0.5000)
Tl (0.0000, 0.5000, 0.5000)
Se (0.0000, 0.0000, 0.2624)
Se (0.0101, 0.5051, 0.7362)

Properties
density of states at the Fermi level = 0.00 states/eV per cell
crystal system = trigonal
size of the total moment = 0.0 Bohr magnetons per cell
uncorrected formation energy = -2222 kJ/mol of formula units


(4)
DFT (PBE-GGA) results for an optimized crystal structure of La2TbTl3Se6.

Cell: 7.541 13.052 8.119 Å, 90.00 108.02 90.00°
Space group C2/m (No. 12)
Asymmetric unit:
La (0.000, 0.167, 0.000)
Tb (0.000, 0.500, 0.000)
Tl (0.000, 0.000, 0.500)
Tl (0.000, 0.333, 0.500)
Se (0.231, 0.339, 0.208)
Se (0.248, 0.000, 0.211)

Properties
density of states at the Fermi level = 0.00 states/eV per cell
crystal system = monoclinic
size of the total moment = 0.0 Bohr magnetons per cell
uncorrected formation energy = -1659 kJ/mol of formula units